Entry 1:
Below is crystalline POs2 at its relaxed geometry, with properties calculated at the PBE level.

Geometry as CIF:
```
data_POs2
_symmetry_space_group_name_H-M 'P 1'
_symmetry_Int_Tables_number 1
_cell_length_a 5.2862
_cell_length_b 5.2862
_cell_length_c 6.0048
_cell_angle_alpha 107.22
_cell_angle_beta 107.22
_cell_angle_gamma 31.41
loop_
_symmetry_equiv_pos_as_xyz
'x,y,z'
loop_
_atom_site_label
_atom_site_type_symbol
_atom_site_fract_x
_atom_site_fract_y
_atom_site_fract_z
_atom_site_occupancy
P1 P 0.1930 0.1930 0.1470 1
P2 P 0.8070 0.8070 0.8530 1
Os1 Os 0.1345 0.1345 0.4908 1
Os2 Os 0.4289 0.4289 0.1666 1
Os3 Os 0.5711 0.5711 0.8334 1
Os4 Os 0.8655 0.8655 0.5092 1
```

Computed properties:
As for the calculated volume: 13.869 Å³/atom. As for the energy: -9.2914 eV per atom. The density of states at the Fermi level is 3.86 states/eV/cell. The size of the total moment comes out at 0.00 Bohr magnetons per cell. The formation energy is 0.00 eV/atom.

---

Entry 2:
Below is crystalline P2Os3 at its relaxed geometry, with properties calculated at the PBE level.

Geometry as CIF:
```
data_P2Os3
_symmetry_space_group_name_H-M 'P 1'
_symmetry_Int_Tables_number 1
_cell_length_a 6.1424
_cell_length_b 5.6908
_cell_length_c 7.6411
_cell_angle_alpha 52.42
_cell_angle_beta 47.24
_cell_angle_gamma 80.34
loop_
_symmetry_equiv_pos_as_xyz
'x,y,z'
loop_
_atom_site_label
_atom_site_type_symbol
_atom_site_fract_x
_atom_site_fract_y
_atom_site_fract_z
_atom_site_occupancy
P1 P 0.0325 0.4675 0.0950 1
P2 P 0.1550 0.8450 0.2175 1
P3 P 0.4675 0.0325 0.4050 1
P4 P 0.8450 0.1550 0.7825 1
Os1 Os 0.0358 0.0358 0.4642 1
Os2 Os 0.1176 0.4689 0.7490 1
Os3 Os 0.4689 0.1176 0.6645 1
Os4 Os 0.5010 0.5855 0.1324 1
Os5 Os 0.5855 0.5010 0.7811 1
Os6 Os 0.7858 0.7858 0.2142 1
```

Computed properties:
As for the calculated volume: 14.079 Å³/atom. As for the energy: -8.8989 eV per atom. The density of states at the Fermi level is 0.74 states/eV/cell. The size of the total moment comes out at 0.00 Bohr magnetons per cell. The formation energy is 0.00 eV/atom.

---

Entry 3:
Below is crystalline POs2 at its relaxed geometry, with properties calculated at the PBE level.

Geometry as CIF:
```
data_POs2
_symmetry_space_group_name_H-M 'P 1'
_symmetry_Int_Tables_number 1
_cell_length_a 2.8157
_cell_length_b 2.8157
_cell_length_c 5.9224
_cell_angle_alpha 90.00
_cell_angle_beta 90.00
_cell_angle_gamma 120.00
loop_
_symmetry_equiv_pos_as_xyz
'x,y,z'
loop_
_atom_site_label
_atom_site_type_symbol
_atom_site_fract_x
_atom_site_fract_y
_atom_site_fract_z
_atom_site_occupancy
P1 P 0.0000 0.0000 0.0000 1
Os1 Os 0.3333 0.6667 0.6904 1
Os2 Os 0.6667 0.3333 0.3096 1
```

Computed properties:
As for the calculated volume: 13.555 Å³/atom. As for the energy: -9.1926 eV per atom. The density of states at the Fermi level is 1.99 states/eV/cell. The size of the total moment comes out at 0.00 Bohr magnetons per cell. The formation energy is 0.10 eV/atom.

---

Entry 4:
Below is crystalline POs2 at its relaxed geometry, with properties calculated at the PBE level.

Geometry as CIF:
```
data_POs2
_symmetry_space_group_name_H-M 'P 1'
_symmetry_Int_Tables_number 1
_cell_length_a 10.1894
_cell_length_b 10.1894
_cell_length_c 10.1894
_cell_angle_alpha 163.67
_cell_angle_beta 163.67
_cell_angle_gamma 23.17
loop_
_symmetry_equiv_pos_as_xyz
'x,y,z'
loop_
_atom_site_label
_atom_site_type_symbol
_atom_site_fract_x
_atom_site_fract_y
_atom_site_fract_z
_atom_site_occupancy
P1 P 0.3750 0.6250 0.7500 1
P2 P 0.6250 0.3750 0.2500 1
Os1 Os 0.0555 0.8055 0.2500 1
Os2 Os 0.1945 0.9445 0.2500 1
Os3 Os 0.8055 0.0555 0.7500 1
Os4 Os 0.9445 0.1945 0.7500 1
```

Computed properties:
As for the calculated volume: 13.928 Å³/atom. As for the energy: -9.0841 eV per atom. The density of states at the Fermi level is 3.61 states/eV/cell. The size of the total moment comes out at 0.00 Bohr magnetons per cell. The formation energy is 0.21 eV/atom.